[1]
# K2LaTe GGA-PBE optimized geometry
# - ΔE_f (raw) (meV/atom) = -225
# - crystal system = orthorhombic
data_K2LaTe
_chemical_formula_sum 'K4 La2 Te2'
_cell_length_a 6.523
_cell_length_b 12.022
_cell_length_c 4.396
_cell_angle_alpha 90.00
_cell_angle_beta 90.00
_cell_angle_gamma 90.00
_symmetry_space_group_name_H-M 'C m m m'
_symmetry_Int_Tables_number 65
_symmetry_space_group_name_Hall '-C 2 2'
loop_
_atom_site_label
_atom_site_fract_x
_atom_site_fract_y
_atom_site_fract_z
K1 0.250 0.250 0.000
La1 0.000 0.000 0.500
Te1 0.000 0.500 0.500

[2]
# BeSb3H GGA-PBE optimized geometry
# - electronic total energy (eV per cell) = -15.08
# - crystal system = cubic
data_BeSb3H
_chemical_formula_sum 'Be1 Sb3 H1'
_cell_length_a 4.888
_cell_length_b 4.888
_cell_length_c 4.888
_cell_angle_alpha 90.00
_cell_angle_beta 90.00
_cell_angle_gamma 90.00
_symmetry_space_group_name_H-M 'P m -3 m'
_symmetry_Int_Tables_number 221
_symmetry_space_group_name_Hall '-P 4 2 3'
loop_
_atom_site_label
_atom_site_fract_x
_atom_site_fract_y
_atom_site_fract_z
Be1 0.000 0.000 0.000
Sb1 0.000 0.000 0.500
H1 0.500 0.500 0.500

[3]
# Ho2CrOs3 GGA-PBE optimized geometry
# - DFT formation energy (eV/atom) = -0.25
# - crystal system = hexagonal
data_Ho2CrOs3
_chemical_formula_sum 'Ho4 Cr2 Os6'
_cell_length_a 5.3909
_cell_length_b 5.3909
_cell_length_c 8.3640
_cell_angle_alpha 90.00
_cell_angle_beta 90.00
_cell_angle_gamma 120.00
_symmetry_space_group_name_H-M 'P 63/m m c'
_symmetry_Int_Tables_number 194
_symmetry_space_group_name_Hall '-P 6c 2c'
loop_
_atom_site_label
_atom_site_fract_x
_atom_site_fract_y
_atom_site_fract_z
Ho1 0.3333 0.6667 0.0646
Cr1 0.0000 0.0000 0.0000
Os1 0.1694 0.3389 0.7500

[4]
# Th6SiGe2As3 GGA-PBE optimized geometry
# - ΔE_f (raw) (meV/atom) = -1077
# - crystal system = monoclinic
data_Th6SiGe2As3
_chemical_formula_sum 'Th12 Si2 Ge4 As6'
_cell_length_a 18.647
_cell_length_b 4.279
_cell_length_c 8.548
_cell_angle_alpha 90.00
_cell_angle_beta 103.17
_cell_angle_gamma 90.00
_symmetry_space_group_name_H-M 'C 1 2/m 1'
_symmetry_Int_Tables_number 12
loop_
_symmetry_equiv_pos_as_xyz
'x,y,z'
'-x,-y,-z'
'-x,y,-z'
'x,-y,z'
'x+1/2,y+1/2,z'
'-x+1/2,-y+1/2,-z'
'-x+1/2,y+1/2,-z'
'x+1/2,-y+1/2,z'
loop_
_atom_site_label
_atom_site_fract_x
_atom_site_fract_y
_atom_site_fract_z
Th1 0.000 0.000 0.245
Th2 0.165 0.500 0.084
Th3 0.167 0.500 0.582
Si1 0.000 0.500 0.000
Ge1 0.167 0.000 0.333
As1 0.000 0.500 0.500
As2 0.167 0.000 0.833

no.,M_tot (μB/cell)
1,2.2
2,0.4
3,0.0
4,0.0